(w)
Material: MnBeP
Method: DFT, PBE-GGA
State: relaxed

Results
As for the density: 4.7 g cm⁻³. As for the crystal system: trigonal. The value obtained for the size of the total moment is 0.493 Bohr magnetons per cell.

Cell and atoms, written as POSCAR:
```
MnBeP
1.0
2.6701 0.0000 0.0000
-1.3350 2.3124 0.0000
0.0000 0.0000 5.3776
Mn Be P
1 1 1
Direct
0.0000 0.0000 0.0000
0.3333 0.6667 0.6669
0.6667 0.3333 0.3054
```

(x)
Material: MnBeP
Method: DFT, PBE-GGA
State: relaxed

Results
As for the density: 4.8 g cm⁻³. As for the crystal system: trigonal. The value obtained for the size of the total moment is 0.001 Bohr magnetons per cell.

Cell and atoms, written as POSCAR:
```
MnBeP
1.0
3.6587 0.0000 0.0000
-1.8294 3.1686 0.0000
0.0000 0.0000 2.8560
Mn Be P
1 1 1
Direct
0.0000 0.0000 0.0000
0.3333 0.6667 0.4695
0.6667 0.3333 0.1015
```

Name the least stable of them. (w).